1.
11
Lattice="-0.985 7.556 -3.160 -4.489 -2.542 -4.679 -2.311 2.276 6.163" Properties=species:S:1:pos:R:3 comment="PBE PmDy7Sc3, relaxed" crystal_system=trigonal spacegroup="P3m1, No. 156" e_form_ev_per_atom=0.22 final_energy_ev_per_atom=-4.86 e_above_lowest_polymorph_mev_per_atom=66 magmom_total_mub_per_cell=0.00 pbc="T T T"
Pm -3.477 4.051 1.135
Dy -2.779 2.259 4.014
Dy -1.631 1.128 0.952
Dy -3.878 -0.052 -1.435
Dy -4.577 1.753 -4.317
Dy -2.349 3.015 -1.994
Dy -5.724 2.883 -1.258
Dy -5.010 0.996 1.689
Sc -4.174 5.788 -1.746
Sc -3.025 4.656 -4.811
Sc -6.406 4.524 -4.073


2.
4
Lattice="0.000 3.458 3.458 3.458 0.000 3.458 3.458 3.458 0.000" Properties=species:S:1:pos:R:3 comment="PBE Hf2VBi, relaxed" crystal_system=cubic spacegroup="Fm-3m, No. 225" e_form_ev_per_atom=0.27 final_energy_ev_per_atom=-7.95 e_above_lowest_polymorph_mev_per_atom=244 magmom_total_mub_per_cell=0.00 pbc="T T T"
Hf 1.729 1.729 1.729
Hf 5.187 5.187 5.187
Bi 3.458 3.458 3.458
V 0.000 0.000 0.000


3.
4
Lattice="6.138 -0.088 0.000 -2.699 5.513 0.000 0.000 0.000 3.188" Properties=species:S:1:pos:R:3 comment="PBE In2TeAs, relaxed" crystal_system=orthorhombic spacegroup="Cmmm, No. 65" final_energy_ev_per_atom=-3.17 e_above_lowest_polymorph_mev_per_atom=313 e_form_raw_ev_per_atom=0.15 magmom_total_mub_per_cell=0.00 pbc="T T T"
As -1.350 2.757 1.594
Te 3.069 -0.044 1.594
In 0.000 0.000 0.000
In 1.719 2.713 0.000


4.
8
Lattice="-1.683 -0.091 5.473 -4.400 -3.384 -1.410 -0.090 -5.924 2.870" Properties=species:S:1:pos:R:3 comment="PBE Tc2GeRh, relaxed" crystal_system=tetragonal spacegroup="I-42d, No. 122" e_form_ev_per_atom=1.04 final_energy_ev_per_atom=-7.14 magmom_total_mub_per_cell=0.00 pbc="T T T"
Ge -3.042 -1.738 2.032
Ge -3.766 -5.523 1.746
Rh 0.000 0.000 0.000
Rh -2.407 -3.877 5.188
Tc -1.639 -1.962 4.008
Tc -2.969 -3.607 0.474
Tc -2.311 -5.718 3.688
Tc -5.427 -7.513 5.696


5.
4
Lattice="3.539 0.000 0.000 0.000 3.539 0.000 0.000 0.000 10.107" Properties=species:S:1:pos:R:3 comment="PBE PmY2Pu, relaxed" crystal_system=tetragonal spacegroup="P4/mmm, No. 123" e_form_ev_per_atom=0.11 final_energy_ev_per_atom=-7.89 e_above_lowest_polymorph_mev_per_atom=1 magmom_total_mub_per_cell=6.52 pbc="T T T"
Y 0.000 0.000 7.490
Y 0.000 0.000 2.617
Pm 1.770 1.770 0.000
Pu 1.770 1.770 5.054


6.
5
Lattice="-3.464 -2.276 3.249 -0.937 -3.721 -3.607 3.855 -2.950 2.042" Properties=species:S:1:pos:R:3 comment="PBE CuTe3Mo, relaxed" crystal_system=cubic spacegroup="Pm-3m, No. 221" final_energy_ev_per_atom=-4.12 e_above_lowest_polymorph_mev_per_atom=0 e_form_raw_ev_per_atom=0.75 magmom_total_mub_per_cell=0.00 pbc="T T T"
Mo 0.000 0.000 0.000
Te -0.469 -1.861 -1.803
Te 1.927 -1.475 1.021
Te -1.732 -1.138 1.625
Cu -0.273 -4.474 0.842


7.
18
Lattice="-3.585 5.078 -4.035 -2.250 -1.516 6.896 8.673 10.144 5.060" Properties=species:S:1:pos:R:3 comment="PBE RbLaPuCl6, relaxed" crystal_system=trigonal spacegroup="P-31c, No. 163" final_energy_ev_per_atom=-5.58 e_form_raw_ev_per_atom=-2.10 magmom_total_mub_per_cell=12.00 pbc="T T T"
Rb 0.000 0.000 0.000
Rb 4.337 5.072 2.530
La -0.972 5.416 0.874
La 3.810 8.290 7.047
Pu -0.527 3.218 4.517
Pu 3.365 10.488 3.403
Cl -2.473 3.664 2.508
Cl -3.203 5.931 -0.785
Cl 1.976 6.844 8.640
Cl 6.042 7.775 8.705
Cl 0.974 4.973 2.877
Cl -1.875 7.776 2.141
Cl 2.954 10.417 8.701
Cl 0.863 6.862 -0.720
Cl 4.714 5.930 5.780
Cl -0.115 3.289 -0.781
Cl 1.865 8.733 5.044
Cl 5.311 10.042 5.412


8.
13
Lattice="-0.973 3.122 -3.946 5.680 -3.060 -7.150 -7.198 -4.170 -4.852" Properties=species:S:1:pos:R:3 comment="PBE Tb4Pr4Sm5, relaxed" crystal_system=tetragonal spacegroup="I4/m, No. 87" e_form_ev_per_atom=0.02 final_energy_ev_per_atom=-4.69 magmom_total_mub_per_cell=0.00 pbc="T T T"
Tb 0.881 0.907 -6.156
Tb -3.373 -5.015 -9.792
Tb 1.655 -1.786 -11.805
Tb -4.147 -2.323 -4.143
Pr -3.291 -1.431 -10.304
Pr -2.186 -0.922 -6.846
Pr 0.799 -2.677 -5.643
Pr -0.306 -3.186 -9.101
Sm -1.391 -3.654 -12.532
Sm -1.101 -0.454 -3.416
Sm 0.000 0.000 0.000
Sm 2.762 -1.300 -8.366
Sm -5.254 -2.809 -7.582